Arrangement one

Below is a geometry-optimized PmIn2Sn structure, with properties calculated at the PBE level. Values from VASP.

Cell and atoms, written as Quantum ESPRESSO input:
```
&SYSTEM
  ibrav = 0, nat = 4, ntyp = 3
/
ATOMIC_SPECIES
Pm 145.00 Pm.upf
Sn 118.71 Sn.upf
In 114.82 In.upf
ATOMIC_POSITIONS crystal
Pm 0.5000 0.5000 0.5000
Sn 0.5000 0.0000 0.0000
In 0.0000 0.5000 0.0000
In 0.0000 0.0000 0.5000
CELL_PARAMETERS angstrom
-3.3468 1.3218 3.2007
2.6466 -1.6719 3.4578
2.0602 4.1619 0.4355
```

SG	No. 123
magnetization	0.00	μB/cell
crystal system	tetragonal



Arrangement two

Below is a geometry-optimized PmIn2Sn structure, with properties calculated at the PBE level. Values from VASP.

Cell and atoms, written as Quantum ESPRESSO input:
```
&SYSTEM
  ibrav = 0, nat = 4, ntyp = 3
/
ATOMIC_SPECIES
Pm 145.00 Pm.upf
In 114.82 In.upf
Sn 118.71 Sn.upf
ATOMIC_POSITIONS crystal
Pm 0.5000 0.5000 0.5000
In 0.2645 0.2645 0.2064
In 0.7355 0.7355 0.7936
Sn 0.0000 0.0000 0.0000
CELL_PARAMETERS angstrom
5.0954 0.0000 0.0000
2.5477 4.4127 0.0000
2.5477 1.4709 5.0377
```

SG	No. 166
magnetization	0.00	μB/cell
crystal system	trigonal



Most stable structure - arrangement one; separation to the second - 0.291 eV/atom.



Arrangement one

Below is a geometry-optimized PmYInSn structure, with properties calculated at the PBE level. Values from VASP.

Cell and atoms, written as Quantum ESPRESSO input:
```
&SYSTEM
  ibrav = 0, nat = 4, ntyp = 4
/
ATOMIC_SPECIES
Pm 145.00 Pm.upf
In 114.82 In.upf
Y 88.91 Y.upf
Sn 118.71 Sn.upf
ATOMIC_POSITIONS crystal
Pm 0.5000 0.5000 0.5000
In 0.2500 0.2500 0.2500
Y 0.0000 0.0000 0.0000
Sn 0.7500 0.7500 0.7500
CELL_PARAMETERS angstrom
-1.5571 -4.7409 -2.0629
3.6974 -3.6566 -1.4541
0.6001 -4.5263 2.8825
```

SG	No. 216
magnetization	0.00	μB/cell
crystal system	cubic



Arrangement two

Below is a geometry-optimized PmYInSn structure, with properties calculated at the PBE level. Values from VASP.

Cell and atoms, written as Quantum ESPRESSO input:
```
&SYSTEM
  ibrav = 0, nat = 4, ntyp = 4
/
ATOMIC_SPECIES
Sn 118.71 Sn.upf
Y 88.91 Y.upf
Pm 145.00 Pm.upf
In 114.82 In.upf
ATOMIC_POSITIONS crystal
Sn 0.5867 0.5000 0.1733
Y 0.1368 0.0000 0.2735
Pm 0.8630 0.5000 0.7260
In 0.4136 0.0000 0.8272
CELL_PARAMETERS angstrom
4.6086 0.0000 0.0000
0.0000 4.3604 0.0000
-2.3043 0.0000 5.7910
```

SG	No. 38
magnetization	0.00	μB/cell
crystal system	orthorhombic



Most stable structure - arrangement two; separation to the second - 0.109 eV/atom.



Arrangement one

Below is a geometry-optimized SrPmIn4 structure, with properties calculated at the PBE level. Values from VASP.

Cell and atoms, written as Quantum ESPRESSO input:
```
&SYSTEM
  ibrav = 0, nat = 6, ntyp = 3
/
ATOMIC_SPECIES
Pm 145.00 Pm.upf
In 114.82 In.upf
Sr 87.62 Sr.upf
ATOMIC_POSITIONS crystal
Pm 0.0000 0.0000 0.0000
In 0.6254 0.1239 0.6254
In 0.6254 0.6254 0.1239
In 0.6254 0.6254 0.6254
Sr 0.2500 0.2500 0.2500
In 0.1239 0.6254 0.6254
CELL_PARAMETERS angstrom
6.1752 0.0000 0.0000
3.0876 5.3479 0.0000
3.0876 1.7826 5.0421
```

SG	No. 216
magnetization	0.00	μB/cell
crystal system	cubic



Arrangement two

Below is a geometry-optimized SrPmIn4 structure, with properties calculated at the PBE level. Values from VASP.

Cell and atoms, written as Quantum ESPRESSO input:
```
&SYSTEM
  ibrav = 0, nat = 6, ntyp = 3
/
ATOMIC_SPECIES
In 114.82 In.upf
Pm 145.00 Pm.upf
Sr 87.62 Sr.upf
ATOMIC_POSITIONS crystal
In 0.9782 0.0000 0.3379
In 0.9879 0.5000 0.8283
In 0.0121 0.5000 0.1717
Pm 0.5000 0.5000 0.5000
Sr 0.5000 0.0000 0.0000
In 0.0218 0.0000 0.6621
CELL_PARAMETERS angstrom
3.8362 0.0000 0.0147
0.0000 5.0363 0.0000
-0.0280 0.0000 8.7874
```

SG	No. 10
magnetization	0.00	μB/cell
crystal system	monoclinic



Most stable structure - arrangement two; separation to the second - 0.041 eV/atom.



Arrangement one

Below is a geometry-optimized Tb2Pm6In structure, with properties calculated at the PBE level. Values from VASP.

Cell and atoms, written as Quantum ESPRESSO input:
```
&SYSTEM
  ibrav = 0, nat = 9, ntyp = 3
/
ATOMIC_SPECIES
Pm 145.00 Pm.upf
Tb 158.93 Tb.upf
In 114.82 In.upf
ATOMIC_POSITIONS crystal
Pm 0.1559 0.3270 0.3268
Pm 0.1559 0.9997 0.3268
Pm 0.5000 0.3234 0.0000
Pm 0.8441 0.6730 0.6732
Pm 0.5000 0.6766 0.0000
Tb 0.6655 0.6663 0.3327
Pm 0.8441 0.0003 0.6732
Tb 0.3345 0.3337 0.6673
In 0.0000 0.0000 0.0000
CELL_PARAMETERS angstrom
3.2351 0.0000 -1.1901
0.0000 9.8082 0.0000
-3.5163 -4.9041 10.3740
```

SG	No. 12
magnetization	0.00	μB/cell
crystal system	monoclinic



Arrangement two

Below is a geometry-optimized Tb2Pm6In structure, with properties calculated at the PBE level. Values from VASP.

Cell and atoms, written as Quantum ESPRESSO input:
```
&SYSTEM
  ibrav = 0, nat = 18, ntyp = 3
/
ATOMIC_SPECIES
In 114.82 In.upf
Pm 145.00 Pm.upf
Tb 158.93 Tb.upf
ATOMIC_POSITIONS crystal
In 0.3292 0.2501 0.7499
Pm 0.2435 0.4717 0.3095
Pm 0.9965 0.9142 0.4104
Pm 0.5374 0.9718 0.8096
Pm 0.2297 0.6352 0.4704
Pm 0.8762 0.1350 0.9706
Pm 0.3283 0.4140 0.9106
Tb 0.4436 0.1956 0.3580
Pm 0.7703 0.3648 0.5296
Pm 0.7565 0.5283 0.6905
Pm 0.6717 0.5860 0.0894
Pm 0.0035 0.0858 0.5896
In 0.6708 0.7499 0.2501
Pm 0.4626 0.0282 0.1904
Tb 0.5564 0.8044 0.6420
Tb 0.8898 0.3045 0.1419
Pm 0.1238 0.8650 0.0294
Tb 0.1102 0.6955 0.8581
CELL_PARAMETERS angstrom
-4.4130 3.9029 -2.2373
1.9570 -7.9143 -8.7800
-3.6605 -10.3835 -2.0165
```

SG	No. 15
magnetization	0.00	μB/cell
crystal system	monoclinic



Most stable structure - arrangement two; separation to the second - 0.086 eV/atom.



Arrangement one

Below is a geometry-optimized Tb2Pm3In2 structure, with properties calculated at the PBE level. Values from VASP.

Cell and atoms, written as Quantum ESPRESSO input:
```
&SYSTEM
  ibrav = 0, nat = 7, ntyp = 3
/
ATOMIC_SPECIES
In 114.82 In.upf
Pm 145.00 Pm.upf
Tb 158.93 Tb.upf
ATOMIC_POSITIONS crystal
In 0.5669 0.8989 0.1337
Pm 0.2103 0.7905 0.4205
Pm 0.7897 0.2095 0.5795
Tb 0.8701 0.7114 0.7402
Pm 0.0000 0.5000 0.0000
In 0.4331 0.1011 0.8663
Tb 0.1299 0.2886 0.2598
CELL_PARAMETERS angstrom
3.5252 0.0000 0.0000
0.0000 8.0107 -0.7471
-1.7626 -3.3654 7.8480
```

SG	No. 12
magnetization	0.00	μB/cell
crystal system	monoclinic



Arrangement two

Below is a geometry-optimized Tb2Pm3In2 structure, with properties calculated at the PBE level. Values from VASP.

Cell and atoms, written as Quantum ESPRESSO input:
```
&SYSTEM
  ibrav = 0, nat = 7, ntyp = 3
/
ATOMIC_SPECIES
Tb 158.93 Tb.upf
Pm 145.00 Pm.upf
In 114.82 In.upf
ATOMIC_POSITIONS crystal
Tb 0.2879 0.5000 0.4242
Pm 0.8597 0.0000 0.2806
In 0.5710 0.5000 0.8581
In 0.4290 0.5000 0.1419
Tb 0.7121 0.5000 0.5758
Pm 0.0000 0.0000 0.0000
Pm 0.1403 0.0000 0.7194
CELL_PARAMETERS angstrom
-0.6068 3.6049 3.2760
-2.3364 -1.9679 1.7327
8.6439 -2.8518 8.4168
```

SG	No. 65
magnetization	0.02	μB/cell
crystal system	orthorhombic



Most stable structure - arrangement two; separation to the second - 0.036 eV/atom.



Arrangement one

Below is a geometry-optimized TbPm3In3 structure, with properties calculated at the PBE level. Values from VASP.

Cell and atoms, written as Quantum ESPRESSO input:
```
&SYSTEM
  ibrav = 0, nat = 14, ntyp = 3
/
ATOMIC_SPECIES
In 114.82 In.upf
Tb 158.93 Tb.upf
Pm 145.00 Pm.upf
ATOMIC_POSITIONS crystal
In 0.0438 0.4851 0.2580
In 0.0244 0.0244 0.7656
Tb 0.7147 0.7147 0.9615
Pm 0.2296 0.7704 0.0000
Pm 0.7704 0.2296 0.0000
In 0.9562 0.5149 0.7420
Pm 0.4153 0.4153 0.6817
Pm 0.8197 0.1803 0.5000
Pm 0.5847 0.5847 0.3183
In 0.5149 0.9562 0.7420
In 0.4851 0.0438 0.2580
Tb 0.2853 0.2853 0.0385
In 0.9756 0.9756 0.2344
Pm 0.1803 0.8197 0.5000
CELL_PARAMETERS angstrom
6.6784 0.6292 0.2393
-2.4120 6.2593 0.2393
-0.4235 -0.6837 9.8977
```

SG	No. 12
magnetization	0.01	μB/cell
crystal system	monoclinic



Arrangement two

Below is a geometry-optimized TbPm3In3 structure, with properties calculated at the PBE level. Values from VASP.

Cell and atoms, written as Quantum ESPRESSO input:
```
&SYSTEM
  ibrav = 0, nat = 28, ntyp = 3
/
ATOMIC_SPECIES
Tb 158.93 Tb.upf
Pm 145.00 Pm.upf
In 114.82 In.upf
ATOMIC_POSITIONS crystal
Tb 0.0763 0.5763 0.9237
Pm 0.3246 0.8246 0.6754
Pm 0.8272 0.3272 0.1728
In 0.2459 0.1296 0.5019
Pm 0.1728 0.8272 0.3272
Pm 0.1754 0.1754 0.1754
Pm 0.3272 0.1728 0.8272
In 0.6296 0.9981 0.7541
In 0.8704 0.0019 0.2541
Pm 0.9290 0.9290 0.9290
Pm 0.6754 0.3246 0.8246
Pm 0.6728 0.6728 0.6728
Pm 0.0710 0.4290 0.5710
Pm 0.8246 0.6754 0.3246
Tb 0.4237 0.4237 0.4237
Pm 0.5710 0.0710 0.4290
Pm 0.4290 0.5710 0.0710
Tb 0.5763 0.9237 0.0763
In 0.7541 0.6296 0.9981
In 0.9981 0.7541 0.6296
In 0.1296 0.5019 0.2459
Tb 0.9237 0.0763 0.5763
In 0.0019 0.2541 0.8704
In 0.3704 0.4981 0.7459
In 0.2541 0.8704 0.0019
In 0.7459 0.3704 0.4981
In 0.5019 0.2459 0.1296
In 0.4981 0.7459 0.3704
CELL_PARAMETERS angstrom
-1.6841 -2.9984 -8.8468
8.8356 -3.4286 -0.5199
-3.0314 -8.3275 3.3995
```

SG	No. 198
magnetization	0.00	μB/cell
crystal system	cubic



Most stable structure - arrangement two; separation to the second - 0.062 eV/atom.



Arrangement one

Below is a geometry-optimized Tb3PmIn2 structure, with properties calculated at the PBE level. Values from VASP.

Cell and atoms, written as Quantum ESPRESSO input:
```
&SYSTEM
  ibrav = 0, nat = 6, ntyp = 3
/
ATOMIC_SPECIES
Tb 158.93 Tb.upf
In 114.82 In.upf
Pm 145.00 Pm.upf
ATOMIC_POSITIONS crystal
Tb 0.5000 0.0000 0.8577
Tb 0.5000 0.0000 0.1350
Tb 0.5000 0.5000 0.6416
In 0.0000 0.0000 0.5097
Pm 0.5000 0.5000 0.3595
In 0.0000 0.5000 0.9965
CELL_PARAMETERS angstrom
-3.1291 -1.0948 0.9235
1.4709 -0.5851 4.2901
-2.9855 10.6177 2.4718
```

SG	No. 25
magnetization	0.00	μB/cell
crystal system	orthorhombic



Arrangement two

Below is a geometry-optimized Tb3PmIn2 structure, with properties calculated at the PBE level. Values from VASP.

Cell and atoms, written as Quantum ESPRESSO input:
```
&SYSTEM
  ibrav = 0, nat = 12, ntyp = 3
/
ATOMIC_SPECIES
Pm 145.00 Pm.upf
In 114.82 In.upf
Tb 158.93 Tb.upf
ATOMIC_POSITIONS crystal
Pm 0.5000 0.5340 0.5373
In 0.5000 0.2136 0.1425
Tb 0.0000 0.9680 0.0392
Tb 0.0000 0.4680 0.9608
Tb 0.5000 0.6880 0.1774
Tb 0.5000 0.1880 0.8226
In 0.0000 0.2847 0.6455
Tb 0.0000 0.3117 0.3176
In 0.0000 0.7847 0.3545
In 0.5000 0.7136 0.8575
Pm 0.5000 0.0340 0.4627
Tb 0.0000 0.8117 0.6824
CELL_PARAMETERS angstrom
-3.9915 3.3106 -0.8574
-3.9093 -3.6370 4.1557
2.9598 5.5469 7.6389
```

SG	No. 26
magnetization	0.00	μB/cell
crystal system	orthorhombic



Most stable structure - arrangement two; separation to the second - 0.224 eV/atom.



Arrangement one

Below is a geometry-optimized Tb2PmIn structure, with properties calculated at the PBE level. Values from VASP.

Cell and atoms, written as Quantum ESPRESSO input:
```
&SYSTEM
  ibrav = 0, nat = 4, ntyp = 3
/
ATOMIC_SPECIES
Pm 145.00 Pm.upf
Tb 158.93 Tb.upf
In 114.82 In.upf
ATOMIC_POSITIONS crystal
Pm 0.5000 0.5000 0.5000
Tb 0.0000 0.0000 0.7768
Tb 0.0000 0.0000 0.2232
In 0.5000 0.5000 0.0000
CELL_PARAMETERS angstrom
3.6127 0.0000 0.0000
0.0000 3.6127 0.0000
0.0000 0.0000 9.2846
```

SG	No. 123
magnetization	0.00	μB/cell
crystal system	tetragonal



Arrangement two

Below is a geometry-optimized Tb2PmIn structure, with properties calculated at the PBE level. Values from VASP.

Cell and atoms, written as Quantum ESPRESSO input:
```
&SYSTEM
  ibrav = 0, nat = 4, ntyp = 3
/
ATOMIC_SPECIES
Tb 158.93 Tb.upf
In 114.82 In.upf
Pm 145.00 Pm.upf
ATOMIC_POSITIONS crystal
Tb 0.0000 0.5000 0.0000
In 0.5000 0.0000 0.0000
Tb 0.0000 0.0000 0.5000
Pm 0.5000 0.5000 0.5000
CELL_PARAMETERS angstrom
4.8691 0.0000 0.0000
0.0000 4.9081 0.0000
0.0000 0.0000 4.9081
```

SG	No. 123
magnetization	0.40	μB/cell
crystal system	tetragonal



Arrangement three

Below is a geometry-optimized Tb2PmIn structure, with properties calculated at the PBE level. Values from VASP.

Cell and atoms, written as Quantum ESPRESSO input:
```
&SYSTEM
  ibrav = 0, nat = 4, ntyp = 3
/
ATOMIC_SPECIES
In 114.82 In.upf
Tb 158.93 Tb.upf
Pm 145.00 Pm.upf
ATOMIC_POSITIONS crystal
In 0.6664 0.6664 0.0007
Tb 0.2569 0.2569 0.2294
Tb 0.0767 0.0767 0.7698
Pm 0.5000 0.5000 0.5000
CELL_PARAMETERS angstrom
-2.2780 2.3722 1.5551
-1.9733 -0.9989 2.8884
6.5688 3.7936 8.0907
```

SG	No. 160
magnetization	0.00	μB/cell
crystal system	trigonal



Most stable structure - arrangement two; separation to the second - 0.033 eV/atom.



Arrangement one

Below is a geometry-optimized Tb2Pm3In structure, with properties calculated at the PBE level. Values from VASP.

Cell and atoms, written as Quantum ESPRESSO input:
```
&SYSTEM
  ibrav = 0, nat = 6, ntyp = 3
/
ATOMIC_SPECIES
Pm 145.00 Pm.upf
Tb 158.93 Tb.upf
In 114.82 In.upf
ATOMIC_POSITIONS crystal
Pm 0.5000 0.8324 0.6648
Tb 0.0000 0.3380 0.6760
Pm 0.5000 0.1676 0.3352
Pm 0.5000 0.5000 0.0000
In 0.0000 0.0000 0.0000
Tb 0.0000 0.6620 0.3240
CELL_PARAMETERS angstrom
-1.8739 -3.4740 -2.9508
3.9027 -2.9088 0.9462
-5.6681 -1.5963 5.4787
```

SG	No. 65
magnetization	0.00	μB/cell
crystal system	orthorhombic



Arrangement two

Below is a geometry-optimized Tb2Pm3In structure, with properties calculated at the PBE level. Values from VASP.

Cell and atoms, written as Quantum ESPRESSO input:
```
&SYSTEM
  ibrav = 0, nat = 12, ntyp = 3
/
ATOMIC_SPECIES
In 114.82 In.upf
Tb 158.93 Tb.upf
Pm 145.00 Pm.upf
ATOMIC_POSITIONS crystal
In 0.7140 0.7500 0.0000
Tb 0.4431 0.9276 0.6782
Tb 0.5569 0.0724 0.3218
Pm 0.7180 0.4620 0.6648
Pm 0.9468 0.9620 0.6648
Pm 0.0532 0.0380 0.3352
Tb 0.7648 0.5724 0.3218
In 0.2860 0.2500 0.0000
Tb 0.2352 0.4276 0.6782
Pm 0.7760 0.2500 0.0000
Pm 0.2240 0.7500 0.0000
Pm 0.2820 0.5380 0.3352
CELL_PARAMETERS angstrom
6.8429 0.0000 0.0000
0.0000 6.5331 0.0733
-3.4214 -1.5899 8.5194
```

SG	No. 15
magnetization	0.00	μB/cell
crystal system	monoclinic



Most stable structure - arrangement one; separation to the second - 0.054 eV/atom.



Arrangement one

Below is a geometry-optimized TbPm5In2 structure, with properties calculated at the PBE level. Values from VASP.

Cell and atoms, written as Quantum ESPRESSO input:
```
&SYSTEM
  ibrav = 0, nat = 8, ntyp = 3
/
ATOMIC_SPECIES
In 114.82 In.upf
Tb 158.93 Tb.upf
Pm 145.00 Pm.upf
ATOMIC_POSITIONS crystal
In 0.7262 0.7738 0.7738
Tb 0.0000 0.0000 0.0000
Pm 0.6382 0.5827 0.1409
Pm 0.6382 0.1409 0.5827
In 0.2738 0.2262 0.2262
Pm 0.3618 0.4173 0.8591
Pm 0.3618 0.8591 0.4173
Pm 0.0000 0.5000 0.5000
CELL_PARAMETERS angstrom
-0.2585 -3.2538 -1.6633
-0.6692 -5.3762 6.5866
-8.4168 -1.3752 -0.0360
```

SG	No. 71
magnetization	0.00	μB/cell
crystal system	orthorhombic



Arrangement two

Below is a geometry-optimized TbPm5In2 structure, with properties calculated at the PBE level. Values from VASP.

Cell and atoms, written as Quantum ESPRESSO input:
```
&SYSTEM
  ibrav = 0, nat = 16, ntyp = 3
/
ATOMIC_SPECIES
Pm 145.00 Pm.upf
In 114.82 In.upf
Tb 158.93 Tb.upf
ATOMIC_POSITIONS crystal
Pm 0.0000 0.4974 0.7513
Pm 0.0000 0.5026 0.2487
In 0.5000 0.2463 0.6237
Tb 0.0000 0.0000 0.5000
Pm 0.0000 0.0026 0.2513
Tb 0.0000 0.5000 0.0000
Pm 0.0000 0.5000 0.5000
Pm 0.5000 0.2512 0.3756
In 0.5000 0.2537 0.1237
In 0.5000 0.7537 0.3763
Pm 0.5000 0.7512 0.1244
Pm 0.5000 0.7488 0.6244
Pm 0.0000 0.9974 0.7487
In 0.5000 0.7463 0.8763
Pm 0.5000 0.2488 0.8756
Pm 0.0000 0.0000 0.0000
CELL_PARAMETERS angstrom
-4.4774 -1.1464 1.7284
-2.0169 -1.8356 -6.4423
4.2796 -13.1052 2.3942
```

SG	No. 55
magnetization	0.00	μB/cell
crystal system	orthorhombic



Most stable structure - arrangement two; separation to the second - 0.114 eV/atom.